Fe3MoH6: optimized geometry, GGA-PBE.

Unit cell a=4.685 b=4.685 c=4.685 alpha=60.00 beta=60.00 gamma=60.00
Atoms (fractional coordinates):
Fe: 0.000 0.000 0.000
Fe: 0.250 0.250 0.250
Fe: 0.750 0.750 0.750
Mo: 0.500 0.500 0.500
H: 0.234 0.234 0.766
H: 0.234 0.766 0.234
H: 0.234 0.766 0.766
H: 0.766 0.234 0.234
H: 0.766 0.234 0.766
H: 0.766 0.766 0.234

## Properties
Total magnetization in μB per atom: 0.750
Symmetry: Fm-3m, No. 225
Raw total energy in eV/atom: -5.1981


LaAl2Hg: optimized geometry, GGA-PBE.

Unit cell a=4.662 b=6.838 c=6.838 alpha=119.55 beta=90.00 gamma=90.00
Atoms (fractional coordinates):
La: 0.250 0.166 0.834
La: 0.750 0.834 0.166
Al: 0.250 0.649 0.788
Al: 0.250 0.658 0.377
Al: 0.750 0.377 0.658
Al: 0.750 0.788 0.649
Hg: 0.250 0.203 0.371
Hg: 0.750 0.371 0.203

## Properties
Total magnetization in μB per atom: 0.000
Symmetry: Ama2, No. 40
Raw total energy in eV/atom: -3.5496


HfZnCoOs: optimized geometry, GGA-PBE.

Unit cell a=4.416 b=4.416 c=4.416 alpha=60.00 beta=60.00 gamma=60.00
Atoms (fractional coordinates):
Hf: 0.000 0.000 0.000
Zn: 0.250 0.250 0.250
Co: 0.500 0.500 0.500
Os: 0.750 0.750 0.750

## Properties
Total magnetization in μB per atom: 0.535
Symmetry: F-43m, No. 216
Raw total energy in eV/atom: -7.3147
E_form in eV/atom: 0.073
Excess energy over the best structure of this formula in the dataset in eV/f.u.: 0.98


ErLu2As3: optimized geometry, GGA-PBE.

Unit cell a=4.042 b=4.042 c=9.895 alpha=90.00 beta=90.00 gamma=120.00
Atoms (fractional coordinates):
Er: 0.000 0.000 0.000
Lu: 0.333 0.667 0.335
Lu: 0.667 0.333 0.665
As: 0.000 0.000 0.500
As: 0.333 0.667 0.831
As: 0.667 0.333 0.169

## Properties
Total magnetization in μB per atom: 0.003
Symmetry: P-3m1, No. 164
Raw total energy in eV/atom: -6.0810


AcNbBi: optimized geometry, GGA-PBE.

Unit cell a=5.253 b=5.253 c=5.253 alpha=60.00 beta=60.00 gamma=60.00
Atoms (fractional coordinates):
Ac: 0.000 0.000 0.000
Nb: 0.250 0.250 0.250
Bi: 0.500 0.500 0.500

## Properties
Total magnetization in μB per atom: 1.526
Symmetry: F-43m, No. 216
Raw total energy in eV/atom: -5.6535
Excess energy over the best structure of this formula in the dataset in eV/f.u.: 0.00


Mg2Mo: optimized geometry, GGA-PBE.

Unit cell a=7.449 b=7.449 c=2.628 alpha=90.00 beta=90.00 gamma=90.00
Atoms (fractional coordinates):
Mg: 0.240 0.240 0.000
Mg: 0.260 0.740 0.500
Mg: 0.740 0.260 0.500
Mg: 0.760 0.760 0.000
Mo: 0.000 0.000 0.500
Mo: 0.500 0.500 0.000

## Properties
Total magnetization in μB per atom: 0.077
Symmetry: P4_2/mnm, No. 136
Raw total energy in eV/atom: -3.8666
Excess energy over the best structure of this formula in the dataset in eV/f.u.: 1.63


Ho2ErTm3Bi2Os: optimized geometry, GGA-PBE.

Unit cell a=4.208 b=8.224 c=8.224 alpha=119.86 beta=90.00 gamma=90.00
Atoms (fractional coordinates):
Ho: 0.000 0.117 0.883
Ho: 0.000 0.883 0.117
Er: 0.000 0.352 0.352
Tm: 0.500 0.118 0.501
Tm: 0.500 0.501 0.118
Tm: 0.500 0.733 0.733
Bi: 0.000 0.451 0.783
Bi: 0.000 0.783 0.451
Os: 0.500 0.119 0.119

## Properties
Total magnetization in μB per atom: 0.003
Symmetry: Amm2, No. 38
Raw total energy in eV/atom: -5.6935


H2Pd: optimized geometry, GGA-PBE.

Unit cell a=4.059 b=4.059 c=5.404 alpha=109.93 beta=109.93 gamma=38.90
Atoms (fractional coordinates):
H: 0.151 0.156 0.329
H: 0.156 0.151 0.829
H: 0.844 0.849 0.171
H: 0.849 0.844 0.671
Pd: 0.000 0.000 0.000
Pd: 0.000 0.000 0.500

## Properties
Symmetry: C2/c, No. 15
Raw total energy in eV/atom: -3.7455